No. 1
A plane-wave DFT calculation with PBE-GGA was carried out for a relaxed structure of Er5OsPd2.

Values from the calculation:
The value obtained for the electronic total energy is -196.17 eV/cell. For the density of states at the Fermi level, the calculation gives 25.78 states/eV/cell. The value obtained for the total magnetization is 0.0 μB/f.u.

```
data_Er5OsPd2
_chemical_formula_sum 'Er20 Os4 Pd8'
_cell_length_a 7.129
_cell_length_b 7.129
_cell_length_c 14.732
_cell_angle_alpha 90.00
_cell_angle_beta 90.00
_cell_angle_gamma 90.00
_symmetry_space_group_name_H-M 'I 4/m c m'
_symmetry_Int_Tables_number 140
_symmetry_space_group_name_Hall '-I 4 2c'
loop_
_atom_site_label
_atom_site_type_symbol
_atom_site_fract_x
_atom_site_fract_y
_atom_site_fract_z
Er1 Er 0.000 0.000 0.000
Er2 Er 0.174 0.326 0.152
Os1 Os 0.000 0.000 0.250
Pd1 Pd 0.132 0.368 0.500
```



No. 2
A plane-wave DFT calculation with PBE-GGA was carried out for a relaxed structure of Er4OsPd.

Values from the calculation:
As for the offset from the most stable computed form: 33 kJ/mol of formula units. The value obtained for the electronic total energy is -37.21 eV/cell. For the density of states at the Fermi level, the calculation gives 4.34 states/eV/cell. The value obtained for the total magnetization is 0.0 μB/f.u.

```
data_Er4OsPd
_chemical_formula_sum 'Er4 Os1 Pd1'
_cell_length_a 4.785
_cell_length_b 4.785
_cell_length_c 6.813
_cell_angle_alpha 90.00
_cell_angle_beta 90.00
_cell_angle_gamma 90.00
_symmetry_space_group_name_H-M 'P 4/m m m'
_symmetry_Int_Tables_number 123
_symmetry_space_group_name_Hall '-P 4 2'
loop_
_atom_site_label
_atom_site_type_symbol
_atom_site_fract_x
_atom_site_fract_y
_atom_site_fract_z
Er1 Er 0.000 0.500 0.241
Os1 Os 0.000 0.000 0.000
Pd1 Pd 0.500 0.500 0.500
```



No. 3
A plane-wave DFT calculation with PBE-GGA was carried out for a relaxed structure of Er12OsPd6.

Values from the calculation:
The value obtained for the electronic total energy is -321.38 eV/cell. For the density of states at the Fermi level, the calculation gives 46.20 states/eV/cell. The value obtained for the total magnetization is 0.0 μB/f.u.

```
data_Er12OsPd6
_chemical_formula_sum 'Er36 Os3 Pd18'
_cell_length_a 12.4551
_cell_length_b 12.4551
_cell_length_c 11.6155
_cell_angle_alpha 90.00
_cell_angle_beta 90.00
_cell_angle_gamma 120.00
_symmetry_space_group_name_H-M 'R -3'
_symmetry_Int_Tables_number 148
_symmetry_space_group_name_Hall '-R 3'
loop_
_atom_site_label
_atom_site_type_symbol
_atom_site_fract_x
_atom_site_fract_y
_atom_site_fract_z
Er1 Er 0.0264 0.8152 0.3902
Er2 Er 0.0391 0.8395 0.8793
Os1 Os 0.0000 0.0000 0.0000
Pd1 Pd 0.0411 0.7772 0.6420
```



No. 4
A plane-wave DFT calculation with PBE-GGA was carried out for a relaxed structure of PrErOsPd.

Values from the calculation:
The value obtained for the electronic total energy is -109.52 eV/cell. For the density of states at the Fermi level, the calculation gives 10.64 states/eV/cell. The value obtained for the total magnetization is 0.0 μB/f.u.

```
data_PrErOsPd
_chemical_formula_sum 'Pr4 Er4 Os4 Pd4'
_cell_length_a 7.015
_cell_length_b 7.015
_cell_length_c 7.015
_cell_angle_alpha 90.00
_cell_angle_beta 90.00
_cell_angle_gamma 90.00
_symmetry_space_group_name_H-M 'F -4 3 m'
_symmetry_Int_Tables_number 216
_symmetry_space_group_name_Hall 'F -4 2 3'
loop_
_atom_site_label
_atom_site_type_symbol
_atom_site_fract_x
_atom_site_fract_y
_atom_site_fract_z
Pr1 Pr 0.000 0.000 0.000
Er1 Er 0.000 0.000 0.500
Os1 Os 0.250 0.250 0.250
Pd1 Pd 0.250 0.250 0.750
```



No. 5
A plane-wave DFT calculation with PBE-GGA was carried out for a relaxed structure of ErScOsPd.

Values from the calculation:
As for the offset from the most stable computed form: 16 kJ/mol of formula units. The value obtained for the electronic total energy is -119.20 eV/cell. For the density of states at the Fermi level, the calculation gives 6.51 states/eV/cell. The value obtained for the total magnetization is 0.0 μB/f.u.

```
data_ErScOsPd
_chemical_formula_sum 'Er4 Sc4 Os4 Pd4'
_cell_length_a 6.672
_cell_length_b 6.672
_cell_length_c 6.672
_cell_angle_alpha 90.00
_cell_angle_beta 90.00
_cell_angle_gamma 90.00
_symmetry_space_group_name_H-M 'F -4 3 m'
_symmetry_Int_Tables_number 216
_symmetry_space_group_name_Hall 'F -4 2 3'
loop_
_atom_site_label
_atom_site_type_symbol
_atom_site_fract_x
_atom_site_fract_y
_atom_site_fract_z
Er1 Er 0.000 0.000 0.000
Sc1 Sc 0.000 0.000 0.500
Os1 Os 0.250 0.250 0.750
Pd1 Pd 0.250 0.250 0.250
```



No. 6
A plane-wave DFT calculation with PBE-GGA was carried out for a relaxed structure of ErScOsPd.

Values from the calculation:
As for the offset from the most stable computed form: 0 kJ/mol of formula units. The value obtained for the electronic total energy is -29.97 eV/cell. For the density of states at the Fermi level, the calculation gives 1.50 states/eV/cell. The value obtained for the total magnetization is 0.0 μB/f.u.

```
data_ErScOsPd
_chemical_formula_sum 'Er1 Sc1 Os1 Pd1'
_cell_length_a 3.346
_cell_length_b 3.346
_cell_length_c 6.666
_cell_angle_alpha 90.00
_cell_angle_beta 90.00
_cell_angle_gamma 90.00
_symmetry_space_group_name_H-M 'P 4 m m'
_symmetry_Int_Tables_number 99
loop_
_symmetry_equiv_pos_as_xyz
'x,y,z'
'-y,x,z'
'-x,-y,z'
'y,-x,z'
'-x,y,z'
'y,x,z'
'x,-y,z'
'-y,-x,z'
loop_
_atom_site_label
_atom_site_type_symbol
_atom_site_fract_x
_atom_site_fract_y
_atom_site_fract_z
Er1 Er 0.000 0.000 0.000
Sc1 Sc 0.000 0.000 0.522
Os1 Os 0.500 0.500 0.745
Pd1 Pd 0.500 0.500 0.272
```



No. 7
A plane-wave DFT calculation with PBE-GGA was carried out for a relaxed structure of ErTaOsPd.

Values from the calculation:
The value obtained for the electronic total energy is -136.46 eV/cell. For the density of states at the Fermi level, the calculation gives 12.35 states/eV/cell. The value obtained for the total magnetization is 0.0 μB/f.u.

```
data_ErTaOsPd
_chemical_formula_sum 'Er4 Ta4 Os4 Pd4'
_cell_length_a 6.604
_cell_length_b 6.604
_cell_length_c 6.604
_cell_angle_alpha 90.00
_cell_angle_beta 90.00
_cell_angle_gamma 90.00
_symmetry_space_group_name_H-M 'F -4 3 m'
_symmetry_Int_Tables_number 216
_symmetry_space_group_name_Hall 'F -4 2 3'
loop_
_atom_site_label
_atom_site_type_symbol
_atom_site_fract_x
_atom_site_fract_y
_atom_site_fract_z
Er1 Er 0.000 0.000 0.000
Ta1 Ta 0.000 0.000 0.500
Os1 Os 0.250 0.250 0.250
Pd1 Pd 0.250 0.250 0.750
```



No. 8
A plane-wave DFT calculation with PBE-GGA was carried out for a relaxed structure of YErOsPd.

Values from the calculation:
The value obtained for the electronic total energy is -118.62 eV/cell. For the density of states at the Fermi level, the calculation gives 8.18 states/eV/cell. The value obtained for the total magnetization is 0.0 μB/f.u.

```
data_YErOsPd
_chemical_formula_sum 'Y4 Er4 Os4 Pd4'
_cell_length_a 6.874
_cell_length_b 6.874
_cell_length_c 6.874
_cell_angle_alpha 90.00
_cell_angle_beta 90.00
_cell_angle_gamma 90.00
_symmetry_space_group_name_H-M 'F -4 3 m'
_symmetry_Int_Tables_number 216
_symmetry_space_group_name_Hall 'F -4 2 3'
loop_
_atom_site_label
_atom_site_type_symbol
_atom_site_fract_x
_atom_site_fract_y
_atom_site_fract_z
Y1 Y 0.000 0.000 0.000
Er1 Er 0.000 0.000 0.500
Os1 Os 0.250 0.250 0.750
Pd1 Pd 0.250 0.250 0.250
```



No. 9
A plane-wave DFT calculation with PBE-GGA was carried out for a relaxed structure of PmErOs.

Values from the calculation:
As for the offset from the most stable computed form: 5 kJ/mol of formula units. The value obtained for the electronic total energy is -84.00 eV/cell. For the density of states at the Fermi level, the calculation gives 7.72 states/eV/cell. The value obtained for the total magnetization is 0.0 μB/f.u.

```
data_PmErOs
_chemical_formula_sum 'Pm4 Er4 Os4'
_cell_length_a 6.813
_cell_length_b 6.813
_cell_length_c 6.813
_cell_angle_alpha 90.00
_cell_angle_beta 90.00
_cell_angle_gamma 90.00
_symmetry_space_group_name_H-M 'F -4 3 m'
_symmetry_Int_Tables_number 216
_symmetry_space_group_name_Hall 'F -4 2 3'
loop_
_atom_site_label
_atom_site_type_symbol
_atom_site_fract_x
_atom_site_fract_y
_atom_site_fract_z
Pm1 Pm 0.000 0.000 0.000
Er1 Er 0.000 0.000 0.500
Os1 Os 0.250 0.250 0.750
```



No. 10
A plane-wave DFT calculation with PBE-GGA was carried out for a relaxed structure of PmEr2Os.

Values from the calculation:
As for the offset from the most stable computed form: 6 kJ/mol of formula units. The value obtained for the electronic total energy is -103.99 eV/cell. For the density of states at the Fermi level, the calculation gives 16.11 states/eV/cell. The value obtained for the total magnetization is 0.0 μB/f.u.

```
data_PmEr2Os
_chemical_formula_sum 'Pm4 Er8 Os4'
_cell_length_a 3.960
_cell_length_b 12.109
_cell_length_c 8.995
_cell_angle_alpha 90.00
_cell_angle_beta 90.00
_cell_angle_gamma 90.00
_symmetry_space_group_name_H-M 'C m c m'
_symmetry_Int_Tables_number 63
_symmetry_space_group_name_Hall '-C 2c 2'
loop_
_atom_site_label
_atom_site_type_symbol
_atom_site_fract_x
_atom_site_fract_y
_atom_site_fract_z
Pm1 Pm 0.000 0.073 0.250
Er1 Er 0.000 0.352 0.067
Os1 Os 0.000 0.256 0.750
```



Please write out number 6 again, unchanged.
A plane-wave DFT calculation with PBE-GGA was carried out for a relaxed structure of ErScOsPd.

Values from the calculation:
As for the offset from the most stable computed form: 0 kJ/mol of formula units. The value obtained for the electronic total energy is -29.97 eV/cell. For the density of states at the Fermi level, the calculation gives 1.50 states/eV/cell. The value obtained for the total magnetization is 0.0 μB/f.u.

```
data_ErScOsPd
_chemical_formula_sum 'Er1 Sc1 Os1 Pd1'
_cell_length_a 3.346
_cell_length_b 3.346
_cell_length_c 6.666
_cell_angle_alpha 90.00
_cell_angle_beta 90.00
_cell_angle_gamma 90.00
_symmetry_space_group_name_H-M 'P 4 m m'
_symmetry_Int_Tables_number 99
loop_
_symmetry_equiv_pos_as_xyz
'x,y,z'
'-y,x,z'
'-x,-y,z'
'y,-x,z'
'-x,y,z'
'y,x,z'
'x,-y,z'
'-y,-x,z'
loop_
_atom_site_label
_atom_site_type_symbol
_atom_site_fract_x
_atom_site_fract_y
_atom_site_fract_z
Er1 Er 0.000 0.000 0.000
Sc1 Sc 0.000 0.000 0.522
Os1 Os 0.500 0.500 0.745
Pd1 Pd 0.500 0.500 0.272
```